(1)
# HfAl3Sn (PBEsol, relaxed)
data_HfAl3Sn
_cell_length_a 5.009
_cell_length_b 5.009
_cell_length_c 5.009
_cell_angle_alpha 90.00
_cell_angle_beta 90.00
_cell_angle_gamma 90.00
_space_group_name_H-M_alt 'P m -3 m'
_space_group_IT_number 221
_space_group_name_Hall '-P 4 2 3'
loop_
_atom_site_label
_atom_site_type_symbol
_atom_site_fract_x
_atom_site_fract_y
_atom_site_fract_z
_atom_site_occupancy
Hf1 Hf 0.000 0.000 0.000 1
Al1 Al 0.000 0.500 0.500 1
Sn1 Sn 0.500 0.500 0.500 1
# - Crystal system: cubic
# - D(E_F): 0.90 states/eV/atom
# - Volume: 125.7 Å³ per cell
# - Formation energy: 1.167 eV/atom
# - Final energy: -4.2406 eV per atom
# - Magnetic moment: 0.0 Bohr magnetons per cell

***

(2)
# ThS (PBEsol, relaxed)
data_ThS
_cell_length_a 5.654
_cell_length_b 5.654
_cell_length_c 5.654
_cell_angle_alpha 90.00
_cell_angle_beta 90.00
_cell_angle_gamma 90.00
_space_group_name_H-M_alt 'F m -3 m'
_space_group_IT_number 225
_space_group_name_Hall '-F 4 2 3'
loop_
_atom_site_label
_atom_site_type_symbol
_atom_site_fract_x
_atom_site_fract_y
_atom_site_fract_z
_atom_site_occupancy
Th1 Th 0.000 0.000 0.000 1
S1 S 0.000 0.000 0.500 1
# - Crystal system: cubic
# - D(E_F): 0.64 states/eV/atom
# - Volume: 180.8 Å³ per cell
# - Final energy: -8.1918 eV per atom
# - Formation energy without anion corrections: -1.946 eV per atom
# - Magnetic moment: 0.0 Bohr magnetons per cell

***

(3)
# BaTe2F10 (PBEsol, relaxed)
data_BaTe2F10
_cell_length_a 17.043
_cell_length_b 4.846
_cell_length_c 10.216
_cell_angle_alpha 90.00
_cell_angle_beta 112.60
_cell_angle_gamma 90.00
_space_group_name_H-M_alt 'C 1 2/c 1'
_space_group_IT_number 15
loop_
_space_group_symop_operation_xyz
'x,y,z'
'-x,-y,-z'
'-x,y,-z+1/2'
'x,-y,z+1/2'
'x+1/2,y+1/2,z'
'-x+1/2,-y+1/2,-z'
'-x+1/2,y+1/2,-z+1/2'
'x+1/2,-y+1/2,z+1/2'
loop_
_atom_site_label
_atom_site_type_symbol
_atom_site_fract_x
_atom_site_fract_y
_atom_site_fract_z
_atom_site_occupancy
Ba1 Ba 0.000 0.042 0.250 1
Te1 Te 0.162 0.444 0.569 1
F1 F 0.061 0.237 0.552 1
F2 F 0.074 0.435 0.876 1
F3 F 0.109 0.294 0.158 1
F4 F 0.171 0.099 0.463 1
F5 F 0.205 0.241 0.749 1
# - Crystal system: monoclinic
# - D(E_F): 0.00 states/eV/atom
# - Volume: 778.9 Å³ per cell
# - Final energy: -4.7888 eV per atom
# - Formation energy without anion corrections: -2.598 eV per atom
# - Magnetic moment: 0.0 Bohr magnetons per cell